No. 1
This record from Alexandria describes an optimized crystal structure of CaYOs2. The functional is PBE.

Summary:
Spin magnetization ... 0.00 Bohr magnetons per cell
Calculated volume ... 152.8 Å³ per cell
DFT formation energy ... 0.542 eV per atom
Density of states at the Fermi level ... 0.78 states/eV per atom
Total energy ... -7.189 eV per atom

a b c (Å): 3.374 4.945 9.159
angles (deg): 90.00 90.00 90.00
Space group Immm (No. 71)
Symmetry-distinct sites (fractional):
Ca (0.000, 0.000, 0.000) (multiplicity 2)
Y (0.000, 0.000, 0.500) (multiplicity 2)
Os (0.000, 0.500, 0.247) (multiplicity 4)


No. 2
This record from Alexandria describes an optimized crystal structure of PmDy2Ru. The functional is PBE.

Summary:
Spin magnetization ... 0.00 Bohr magnetons per cell
Calculated volume ... 347.5 Å³ per cell
DFT formation energy ... 0.095 eV per atom
Density of states at the Fermi level ... 1.51 states/eV per atom
Polymorph energy (0 for the lowest one) ... 0.383 eV per atom
Total energy ... -5.713 eV per atom

a b c (Å): 3.5188 3.5188 32.4073
angles (deg): 90.00 90.00 120.00
Space group R-3m (No. 166, hexagonal axes)
Symmetry-distinct sites (fractional):
Pm (0.0000, 0.0000, 0.0000) (multiplicity 3)
Dy (0.0000, 0.0000, 0.1085) (multiplicity 6)
Ru (0.0000, 0.0000, 0.5000) (multiplicity 3)


No. 3
This record from Alexandria describes an optimized crystal structure of InSnPtO6. The functional is PBE.

Summary:
Spin magnetization ... 0.70 Bohr magnetons per cell
Calculated volume ... 225.0 Å³ per cell
Density of states at the Fermi level ... 0.63 states/eV per atom
E_form (uncorrected) ... -1.08 eV/atom
Total energy ... -5.810 eV per atom

a b c (Å): 4.787 4.787 9.817
angles (deg): 90.00 90.00 90.00
Space group P4_2nm (No. 102)
Symmetry-distinct sites (fractional):
In (0.000, 0.000, 0.000) (multiplicity 2)
Sn (0.000, 0.000, 0.668) (multiplicity 2)
Pt (0.000, 0.000, 0.334) (multiplicity 2)
O (0.184, 0.184, 0.495) (multiplicity 4)
O (0.192, 0.192, 0.177) (multiplicity 4)
O (0.206, 0.206, 0.830) (multiplicity 4)


No. 4
This record from Alexandria describes an optimized crystal structure of LiHgI. The functional is PBE.

Summary:
Spin magnetization ... 0.00 Bohr magnetons per cell
Calculated volume ... 384.3 Å³ per cell
Density of states at the Fermi level ... 0.00 states/eV per atom
Polymorph energy (0 for the lowest one) ... 0.139 eV per atom
E_form (uncorrected) ... -0.61 eV/atom
Total energy ... -1.868 eV per atom

a b c (Å): 7.270 7.270 7.270
angles (deg): 90.00 90.00 90.00
Space group F-43m (No. 216)
Symmetry-distinct sites (fractional):
Li (0.000, 0.000, 0.000) (multiplicity 4)
Hg (0.250, 0.250, 0.750) (multiplicity 4)
I (0.250, 0.250, 0.250) (multiplicity 4)


No. 5
This record from Alexandria describes an optimized crystal structure of Te3MoIr. The functional is PBE.

Summary:
Spin magnetization ... 2.64 Bohr magnetons per cell
Calculated volume ... 142.9 Å³ per cell
Density of states at the Fermi level ... 1.19 states/eV per atom
Polymorph energy (0 for the lowest one) ... 0.000 eV per atom
E_form (uncorrected) ... 1.09 eV/atom
Total energy ... -4.738 eV per atom

a b c (Å): 5.228 5.228 5.228
angles (deg): 90.00 90.00 90.00
Space group Pm-3m (No. 221)
Symmetry-distinct sites (fractional):
Te (0.000, 0.000, 0.500) (multiplicity 3)
Mo (0.500, 0.500, 0.500) (multiplicity 1)
Ir (0.000, 0.000, 0.000) (multiplicity 1)


No. 6
This record from Alexandria describes an optimized crystal structure of NaAcTlPd. The functional is PBE.

Summary:
Spin magnetization ... 0.00 Bohr magnetons per cell
Calculated volume ... 442.6 Å³ per cell
DFT formation energy ... -0.264 eV per atom
Density of states at the Fermi level ... 0.64 states/eV per atom
Total energy ... -3.511 eV per atom

a b c (Å): 7.621 7.621 7.621
angles (deg): 90.00 90.00 90.00
Space group F-43m (No. 216)
Symmetry-distinct sites (fractional):
Na (0.000, 0.000, 0.000) (multiplicity 4)
Ac (0.000, 0.000, 0.500) (multiplicity 4)
Tl (0.250, 0.250, 0.250) (multiplicity 4)
Pd (0.250, 0.250, 0.750) (multiplicity 4)


- Which of these has the highest total energy?
  LiHgI